(1)
# ThMg3 PBE optimized geometry
data_ThMg3
_cell_length_a 6.7799
_cell_length_b 6.7799
_cell_length_c 5.2132
_cell_angle_alpha 90.00
_cell_angle_beta 90.00
_cell_angle_gamma 120.00
_symmetry_space_group_name_H-M 'P 63/m m c'
_symmetry_Int_Tables_number 194
_symmetry_space_group_name_Hall '-P 6c 2c'
loop_
_atom_site_label
_atom_site_type_symbol
_atom_site_fract_x
_atom_site_fract_y
_atom_site_fract_z
_atom_site_occupancy
Th1 Th 0.3333 0.6667 0.2500 1
Mg1 Mg 0.1602 0.3204 0.7500 1
# Crystal system = hexagonal
# Final energy = -2.97 eV/atom

(2)
# Th3Mg2 PBE optimized geometry
data_Th3Mg2
_cell_length_a 6.6619
_cell_length_b 6.6619
_cell_length_c 24.3622
_cell_angle_alpha 90.00
_cell_angle_beta 90.00
_cell_angle_gamma 120.00
_symmetry_space_group_name_H-M 'R -3 c'
_symmetry_Int_Tables_number 167
_symmetry_space_group_name_Hall '-R 3 2"c'
loop_
_atom_site_label
_atom_site_type_symbol
_atom_site_fract_x
_atom_site_fract_y
_atom_site_fract_z
_atom_site_occupancy
Th1 Th 0.0000 0.4887 0.2500 1
Mg1 Mg 0.0000 0.0000 0.1935 1
# Crystal system = trigonal
# Final energy = -4.77 eV/atom

(3)
# ThMg3 PBE optimized geometry
data_ThMg3
_cell_length_a 6.842
_cell_length_b 11.732
_cell_length_c 5.273
_cell_angle_alpha 90.00
_cell_angle_beta 90.00
_cell_angle_gamma 90.00
_symmetry_space_group_name_H-M 'C m c m'
_symmetry_Int_Tables_number 63
_symmetry_space_group_name_Hall '-C 2c 2'
loop_
_atom_site_label
_atom_site_type_symbol
_atom_site_fract_x
_atom_site_fract_y
_atom_site_fract_z
_atom_site_occupancy
Th1 Th 0.000 0.072 0.250 1
Mg1 Mg 0.000 0.413 0.750 1
Mg2 Mg 0.243 0.327 0.250 1
# Crystal system = orthorhombic
# Final energy = -2.89 eV/atom

(4)
# ThMg5 PBE optimized geometry
data_ThMg5
_cell_length_a 5.8774
_cell_length_b 5.8774
_cell_length_c 5.0222
_cell_angle_alpha 90.00
_cell_angle_beta 90.00
_cell_angle_gamma 120.00
_symmetry_space_group_name_H-M 'P -6 2 m'
_symmetry_Int_Tables_number 189
_symmetry_space_group_name_Hall 'P -6 -2'
loop_
_atom_site_label
_atom_site_type_symbol
_atom_site_fract_x
_atom_site_fract_y
_atom_site_fract_z
_atom_site_occupancy
Th1 Th 0.0000 0.0000 0.0000 1
Mg1 Mg 0.0000 0.5920 0.5000 1
Mg2 Mg 0.3333 0.6667 0.0000 1
# Crystal system = hexagonal
# Final energy = -2.44 eV/atom

(5)
# ThMgTl2 PBE optimized geometry
data_ThMgTl2
_cell_length_a 4.868
_cell_length_b 4.868
_cell_length_c 4.596
_cell_angle_alpha 90.00
_cell_angle_beta 90.00
_cell_angle_gamma 90.00
_symmetry_space_group_name_H-M 'P 4/m m m'
_symmetry_Int_Tables_number 123
_symmetry_space_group_name_Hall '-P 4 2'
loop_
_atom_site_label
_atom_site_type_symbol
_atom_site_fract_x
_atom_site_fract_y
_atom_site_fract_z
_atom_site_occupancy
Th1 Th 0.000 0.000 0.000 1
Mg1 Mg 0.500 0.500 0.000 1
Tl1 Tl 0.000 0.500 0.500 1
# Crystal system = tetragonal
# Final energy = -3.57 eV/atom

(6)
# ThMgTl PBE optimized geometry
data_ThMgTl
_cell_length_a 7.190
_cell_length_b 7.190
_cell_length_c 7.190
_cell_angle_alpha 90.00
_cell_angle_beta 90.00
_cell_angle_gamma 90.00
_symmetry_space_group_name_H-M 'F -4 3 m'
_symmetry_Int_Tables_number 216
_symmetry_space_group_name_Hall 'F -4 2 3'
loop_
_atom_site_label
_atom_site_type_symbol
_atom_site_fract_x
_atom_site_fract_y
_atom_site_fract_z
_atom_site_occupancy
Th1 Th 0.000 0.000 0.000 1
Mg1 Mg 0.000 0.000 0.500 1
Tl1 Tl 0.250 0.250 0.750 1
# Crystal system = cubic
# Final energy = -3.63 eV/atom